## YHfAu (PBE)

Data for YHfAu after structural relaxation.

Cell lengths 4.6391, 4.6391, 11.6734 Å; angles 90.00, 90.00, 120.00 degrees
With the nearest neighbours (Å) after each atom.
Space group P6_3/mmc (No. 194)
One atom of each set of equivalent atoms:
Y 0.0000 0.0000 0.2500 x2  3 Au 2.68, 2 Hf 2.92
Hf 0.0000 0.0000 0.0000 x2  2 Y 2.92
Au 0.3333 0.6667 0.2500 x2  3 Y 2.68

Output
**Uncorrected energy**: -31.2 eV for the cell shown
**Distance to the lowest polymorph of the same formula**: 1846 meV per atom
**Formation energy from the elements**: 1.369 eV per atom

=====

## ScNb3Ru (PBE)

Data for ScNb3Ru after structural relaxation.

Cell lengths 4.8412, 4.8412, 4.8412 Å; angles 90.00, 90.00, 90.00 degrees
With the nearest neighbours (Å) after each atom.
Space group Pm-3m (No. 221)
One atom of each set of equivalent atoms:
Sc 0.0000 0.0000 0.0000 x1  12 Nb 3.42
Nb 0.0000 0.5000 0.5000 x3  2 Ru 2.42
Ru 0.5000 0.5000 0.5000 x1  6 Nb 2.42

Output
**Uncorrected energy**: -42.0 eV for the cell shown
**Distance to the lowest polymorph of the same formula**: 0 meV per atom
**Formation energy from the elements**: 0.770 eV per atom